A plane-wave DFT calculation with PBE was carried out for a geometry-optimized Li2ReBiO6 structure.

abc: 7.3267 7.3267 6.2328
angles: 111.15 111.15 74.86
Atoms (fractional coordinates):
Li (0.1413, 0.2832, 0.1367)
Li (0.2832, 0.1413, 0.6367)
Li (0.7168, 0.8587, 0.3633)
Li (0.8587, 0.7168, 0.8633)
Re (0.2092, 0.7908, 0.2500)
Re (0.7908, 0.2092, 0.7500)
Bi (0.4029, 0.5971, 0.7500)
Bi (0.5971, 0.4029, 0.2500)
O (0.0328, 0.1958, 0.7330)
O (0.1422, 0.6473, 0.9270)
O (0.1958, 0.0328, 0.2330)
O (0.2961, 0.4977, 0.3067)
O (0.3527, 0.8578, 0.5730)
O (0.4977, 0.2961, 0.8067)
O (0.5023, 0.7039, 0.1933)
O (0.6473, 0.1422, 0.4270)
O (0.7039, 0.5023, 0.6933)
O (0.8042, 0.9672, 0.7670)
O (0.8578, 0.3527, 0.0730)
O (0.9672, 0.8042, 0.2670)

Calculated values
Spin magnetization in μB/f.u.: 0.0
Formation energy without anion corrections in kJ/mol of formula units: -1580
D(E_F) in states/eV per cell: 0.00
Raw total energy in eV per formula unit: -66.28
Space group: No. 15